Entry 1:
## RePtW2 (PBE)

Data for an optimized crystal structure of RePtW2.

Calculated values
For the energy above the most stable polymorph in this dataset, the calculation gives 119 meV/atom. Its total magnetic moment is 0.0 μB/f.u. As for the formation energy: 0.024 eV per atom. For the density of states at the Fermi level, the calculation gives 0.659 states/eV/atom. The value obtained for the volume is 62.6 Å³/cell. As for the space group: No. 8.

Geometry as extended XYZ:
```
4
Lattice="4.649 -1.388 0.000 4.649 1.388 0.000 -0.778 0.000 4.852" Properties=species:S:1:pos:R:3 pbc="T T T"
Re 0.000 0.000 0.000
Pt 1.772 0.000 3.595
W 4.290 0.000 2.453
W 6.794 0.000 1.147
```


Entry 2:
## La2CrPt (PBE)

Data for an optimized crystal structure of La2CrPt.

Calculated values
For the energy above the most stable polymorph in this dataset, the calculation gives 157 meV/atom. Its total magnetic moment is 5.0 μB/f.u. As for the formation energy: -0.183 eV per atom. For the density of states at the Fermi level, the calculation gives 0.928 states/eV/atom. The value obtained for the volume is 91.7 Å³/cell. As for the space group: No. 216.

Geometry as extended XYZ:
```
4
Lattice="0.000 3.579 3.579 3.579 0.000 3.579 3.579 3.579 0.000" Properties=species:S:1:pos:R:3 pbc="T T T"
La 0.000 0.000 0.000
La 1.789 1.789 1.789
Cr 5.368 5.368 5.368
Pt 3.579 3.579 3.579
```


Entry 3:
## AlC2 (PBE)

Data for an optimized crystal structure of AlC2.

Calculated values
For the energy above the most stable polymorph in this dataset, the calculation gives 1822 meV/atom. Its total magnetic moment is 0.0 μB/f.u. As for the formation energy: 2.109 eV per atom. For the density of states at the Fermi level, the calculation gives 0.503 states/eV/atom. The value obtained for the volume is 57.6 Å³/cell. As for the space group: No. 194.

Geometry as extended XYZ:
```
6
Lattice="4.198 0.000 0.000 -2.099 3.636 0.000 0.000 0.000 3.775" Properties=species:S:1:pos:R:3 pbc="T T T"
Al 0.000 2.424 0.944
Al 2.099 1.212 2.832
C 0.000 0.000 0.000
C 0.000 0.000 1.888
C 0.000 2.424 2.832
C 2.099 1.212 0.944
```